Record 1
Material: RbN4
Method: DFT, GGA-PBE
State: optimized geometry

Unit cell a=6.0354 b=6.0354 c=6.0354 alpha=90.00 beta=90.00 gamma=90.00
Last column: nearest neighbours and their distance in Å.
Atoms (fractional coordinates):
1 Rb 0.5000 0.5000 0.5000  6 N 3.02
2 N 0.0000 0.0000 0.0000  12 N 4.27
3 N 0.5000 0.5000 0.0000  2 Rb 3.02
4 N 0.5000 0.0000 0.5000  2 Rb 3.02
5 N 0.0000 0.5000 0.5000  2 Rb 3.02

Summary:
As for the calculated total energy: -3.213 eV per atom. The calculation puts the relative energy among the computed polymorphs at 3754 meV per atom. The value obtained for the formation energy (no corrections) is 3.641 eV per atom. The calculated volume is 220 Å³/cell.

Record 2
Material: RbN6
Method: DFT, GGA-PBE
State: optimized geometry

Unit cell a=6.9992 b=6.9992 c=5.5246 alpha=90.00 beta=90.00 gamma=90.00
Last column: nearest neighbours and their distance in Å.
Atoms (fractional coordinates):
1 N 0.7500 0.2500 0.6028  1 N 1.14
2 N 0.5000 0.5000 0.8971  1 N 1.14
3 N 0.0000 0.0000 0.8971  1 N 1.14
4 N 0.7500 0.7500 0.3972  1 N 1.14
5 N 0.2500 0.2500 0.6028  1 N 1.14
6 N 0.7500 0.2500 0.3972  1 N 1.14
7 N 0.2500 0.2500 0.3972  1 N 1.14
8 N 0.7500 0.7500 0.6028  1 N 1.14
9 N 0.2500 0.7500 0.3972  1 N 1.14
10 N 0.0000 0.0000 0.1029  1 N 1.14
11 N 0.2500 0.7500 0.6028  1 N 1.14
12 N 0.5000 0.5000 0.1029  1 N 1.14
13 Rb 0.0000 0.5000 0.0000  16 N 3.31-3.55
14 Rb 0.5000 0.0000 0.0000  16 N 3.31-3.55

Summary:
As for the calculated total energy: -7.333 eV per atom. The calculation puts the relative energy among the computed polymorphs at 0 meV per atom. The value obtained for the formation energy (no corrections) is -0.059 eV per atom. The calculated volume is 271 Å³/cell.

Record 3
Material: RbN4
Method: DFT, GGA-PBE
State: optimized geometry

Unit cell a=6.2297 b=4.0911 c=6.3788 alpha=106.62 beta=102.35 gamma=129.41
Last column: nearest neighbours and their distance in Å.
Atoms (fractional coordinates):
1 N 0.6896 0.4026 0.4149  1 N 1.15
2 N 0.2467 0.6009 0.7409  1 N 1.15
3 N 0.7533 0.3991 0.2591  1 N 1.15
4 N 0.3104 0.5974 0.5851  1 N 1.15
5 Rb 0.0000 0.0000 0.0000  6 N 3.06-3.24

Summary:
As for the calculated total energy: -6.935 eV per atom. The calculation puts the relative energy among the computed polymorphs at 33 meV per atom. The value obtained for the formation energy (no corrections) is -0.081 eV per atom. The calculated volume is 102 Å³/cell.

Record 4
Material: Rb2N
Method: DFT, GGA-PBE
State: optimized geometry

Unit cell a=4.5630 b=12.6616 c=10.2004 alpha=69.05 beta=120.10 gamma=140.06
Last column: nearest neighbours and their distance in Å.
Atoms (fractional coordinates):
1 N 0.1510 0.5397 0.5588  1 N 1.20
2 N 0.8490 0.4603 0.4412  1 N 1.20
3 Rb 0.0807 0.2522 0.1562  1 N 2.96
4 Rb 0.8420 0.7284 0.3677  4 N 3.23-3.28
5 Rb 0.1580 0.2716 0.6323  4 N 3.23-3.28
6 Rb 0.9193 0.7478 0.8438  1 N 2.96

Summary:
As for the calculated total energy: -3.425 eV per atom. The value obtained for the formation energy (no corrections) is -0.005 eV per atom. The calculated volume is 327 Å³/cell.

Record 5
Material: Rb3ReN3
Method: DFT, GGA-PBE
State: optimized geometry

Unit cell a=7.1925 b=7.8061 c=11.4637 alpha=95.60 beta=90.00 gamma=90.00
Last column: nearest neighbours and their distance in Å.
Atoms (fractional coordinates):
1 Rb 0.8969 0.9567 0.8419  4 N 2.90-3.07
2 Rb 0.1802 0.3604 0.9284  1 N 2.74
3 Rb 0.6031 0.9567 0.3419  4 N 2.90-3.07
4 Rb 0.6803 0.3654 0.8091  5 N 2.90-3.16
5 Rb 0.1031 0.0433 0.1581  4 N 2.90-3.07
6 Rb 0.6802 0.6396 0.5716  1 N 2.74
7 Rb 0.3198 0.3604 0.4284  1 N 2.74
8 Rb 0.3969 0.0433 0.6581  4 N 2.90-3.07
9 Rb 0.1803 0.6346 0.6909  5 N 2.90-3.16
10 Rb 0.3197 0.6346 0.1909  5 N 2.90-3.16
11 Rb 0.8197 0.3654 0.3091  5 N 2.90-3.16
12 Rb 0.8198 0.6396 0.0716  1 N 2.74
13 N 0.0610 0.1024 0.4103  2 Re 2.00-2.01
14 N 0.4390 0.1024 0.9103  2 Re 2.00-2.01
15 N 0.3043 0.7681 0.4569  1 Re 1.81
16 N 0.6957 0.2319 0.5431  1 Re 1.81
17 N 0.5562 0.7199 0.8273  1 Re 1.81
18 N 0.9390 0.8976 0.5897  2 Re 2.00-2.01
19 N 0.0562 0.2801 0.6727  1 Re 1.81
20 N 0.8043 0.2319 0.0431  1 Re 1.81
21 N 0.1957 0.7681 0.9569  1 Re 1.81
22 N 0.5610 0.8976 0.0897  2 Re 2.00-2.01
23 N 0.4438 0.2801 0.1727  1 Re 1.81
24 N 0.9438 0.7199 0.3273  1 Re 1.81
25 Re 0.5726 0.1477 0.0627  4 N 1.81-2.01
26 Re 0.0726 0.8523 0.4373  4 N 1.81-2.01
27 Re 0.9274 0.1477 0.5627  4 N 1.81-2.01
28 Re 0.4274 0.8523 0.9373  4 N 1.81-2.01

Summary:
As for the calculated total energy: -6.030 eV per atom. The value obtained for the formation energy (no corrections) is -0.269 eV per atom. The calculated volume is 641 Å³/cell.

Record 6
Material: Rb6ReN4
Method: DFT, GGA-PBE
State: optimized geometry

Unit cell a=8.7895 b=8.7895 c=7.5103 alpha=90.00 beta=90.00 gamma=90.00
Last column: nearest neighbours and their distance in Å.
Atoms (fractional coordinates):
1 Re 0.0000 0.0000 0.0000  4 N 1.87
2 Re 0.5000 0.5000 0.5000  4 N 1.87
3 N 0.1765 0.0000 0.8615  1 Re 1.87
4 N 0.0000 0.8235 0.1385  1 Re 1.87
5 N 0.5000 0.6765 0.3615  1 Re 1.87
6 N 0.8235 0.0000 0.8615  1 Re 1.87
7 N 0.3235 0.5000 0.6385  1 Re 1.87
8 N 0.5000 0.3235 0.3615  1 Re 1.87
9 N 0.0000 0.1765 0.1385  1 Re 1.87
10 N 0.6765 0.5000 0.6385  1 Re 1.87
11 Rb 0.2873 0.2873 0.0000  2 N 2.90
12 Rb 0.7127 0.7127 0.0000  2 N 2.90
13 Rb 0.2873 0.7127 0.0000  2 N 2.90
14 Rb 0.7127 0.2873 0.0000  2 N 2.90
15 Rb 0.2127 0.7873 0.5000  2 N 2.90
16 Rb 0.5000 0.0000 0.7495  2 N 2.97
17 Rb 0.7873 0.7873 0.5000  2 N 2.90
18 Rb 0.5000 0.0000 0.2495  2 N 2.97
19 Rb 0.0000 0.5000 0.7505  2 N 2.97
20 Rb 0.2127 0.2127 0.5000  2 N 2.90
21 Rb 0.0000 0.5000 0.2505  2 N 2.97
22 Rb 0.7873 0.2127 0.5000  2 N 2.90

Summary:
As for the calculated total energy: -4.650 eV per atom. The value obtained for the formation energy (no corrections) is 0.037 eV per atom. The calculated volume is 580 Å³/cell.

Record 7
Material: Rb2Re2N
Method: DFT, GGA-PBE
State: optimized geometry

Unit cell a=10.6631 b=10.6631 c=2.8481 alpha=90.00 beta=90.00 gamma=90.00
Last column: nearest neighbours and their distance in Å.
Atoms (fractional coordinates):
1 N 0.0000 0.0000 0.0000  2 N 2.85
2 N 0.5000 0.5000 0.0000  2 N 2.85
3 Rb 0.7092 0.2092 0.0000  2 Rb 2.85
4 Rb 0.2908 0.7908 0.0000  2 Rb 2.85
5 Rb 0.7908 0.7092 0.0000  2 Rb 2.85
6 Rb 0.2092 0.2908 0.0000  2 Rb 2.85
7 Re 0.4272 0.0728 0.5000  1 Re 2.19
8 Re 0.9272 0.4272 0.5000  1 Re 2.19
9 Re 0.0728 0.5728 0.5000  1 Re 2.19
10 Re 0.5728 0.9272 0.5000  1 Re 2.19

Summary:
As for the calculated total energy: -4.812 eV per atom. The calculation puts the relative energy among the computed polymorphs at 910 meV per atom. The value obtained for the formation energy (no corrections) is 2.220 eV per atom. The calculated volume is 324 Å³/cell.

Record 8
Material: RbReN3
Method: DFT, GGA-PBE
State: optimized geometry

Unit cell a=3.9991 b=3.9991 c=3.9991 alpha=90.00 beta=90.00 gamma=90.00
Last column: nearest neighbours and their distance in Å.
Atoms (fractional coordinates):
1 Re 0.0000 0.0000 0.0000  6 N 2.00
2 Rb 0.5000 0.5000 0.5000  12 N 2.83
3 N 0.5000 0.0000 0.0000  2 Re 2.00
4 N 0.0000 0.5000 0.0000  2 Re 2.00
5 N 0.0000 0.0000 0.5000  2 Re 2.00

Summary:
As for the calculated total energy: -7.250 eV per atom. The value obtained for the formation energy (no corrections) is 0.428 eV per atom. The calculated volume is 64 Å³/cell.

Record 9
Material: RbRe3N
Method: DFT, GGA-PBE
State: optimized geometry

Unit cell a=4.6664 b=4.6664 c=4.6664 alpha=90.00 beta=90.00 gamma=90.00
Last column: nearest neighbours and their distance in Å.
Atoms (fractional coordinates):
1 Rb 0.0000 0.0000 0.0000  6 Re 2.33
2 N 0.5000 0.5000 0.5000  12 Re 3.30
3 Re 0.5000 0.0000 0.0000  2 Rb 2.33
4 Re 0.0000 0.0000 0.5000  2 Rb 2.33
5 Re 0.0000 0.5000 0.0000  2 Rb 2.33

Summary:
As for the calculated total energy: -3.913 eV per atom. The calculation puts the relative energy among the computed polymorphs at 3687 meV per atom. The value obtained for the formation energy (no corrections) is 5.415 eV per atom. The calculated volume is 102 Å³/cell.

Record 10
Material: RbRe3N
Method: DFT, GGA-PBE
State: optimized geometry

Unit cell a=4.2962 b=4.2962 c=4.2962 alpha=90.00 beta=90.00 gamma=90.00
Last column: nearest neighbours and their distance in Å.
Atoms (fractional coordinates):
1 N 0.0000 0.0000 0.0000  6 Re 2.15
2 Rb 0.5000 0.5000 0.5000  12 Re 3.04
3 Re 0.0000 0.5000 0.0000  2 N 2.15
4 Re 0.0000 0.0000 0.5000  2 N 2.15
5 Re 0.5000 0.0000 0.0000  2 N 2.15

Summary:
As for the calculated total energy: -7.600 eV per atom. The calculation puts the relative energy among the computed polymorphs at 0 meV per atom. The value obtained for the formation energy (no corrections) is 1.728 eV per atom. The calculated volume is 79 Å³/cell.

Record 11
Material: Rb3ReN
Method: DFT, GGA-PBE
State: optimized geometry

Unit cell a=5.7852 b=5.7852 c=5.7852 alpha=90.00 beta=90.00 gamma=90.00
Last column: nearest neighbours and their distance in Å.
Atoms (fractional coordinates):
1 Rb 0.0000 0.0000 0.5000  2 N 2.89
2 Rb 0.0000 0.5000 0.0000  2 N 2.89
3 Rb 0.5000 0.0000 0.0000  2 N 2.89
4 Re 0.5000 0.5000 0.5000  12 Rb 4.09
5 N 0.0000 0.0000 0.0000  6 Rb 2.89

Summary:
As for the calculated total energy: -3.086 eV per atom. The calculation puts the relative energy among the computed polymorphs at 0 meV per atom. The value obtained for the formation energy (no corrections) is 1.650 eV per atom. The calculated volume is 194 Å³/cell.

Record 12
Material: Rb5Re2N6
Method: DFT, GGA-PBE
State: optimized geometry

Unit cell a=6.7919 b=6.7919 c=15.4624 alpha=81.45 beta=81.45 gamma=65.19
Last column: nearest neighbours and their distance in Å.
Atoms (fractional coordinates):
1 Re 0.3706 0.0805 0.5749  4 N 1.79-1.97
2 Re 0.9195 0.6294 0.9251  4 N 1.79-1.97
3 Re 0.0805 0.3706 0.0749  4 N 1.79-1.97
4 Re 0.6294 0.9195 0.4251  4 N 1.79-1.97
5 N 0.6428 0.8235 0.5512  2 Re 1.97
6 N 0.1765 0.3572 0.9488  2 Re 1.97
7 N 0.9926 0.8476 0.8752  1 Re 1.79
8 N 0.8235 0.6428 0.0512  2 Re 1.97
9 N 0.5944 0.7359 0.3624  1 Re 1.80
10 N 0.0074 0.1524 0.1248  1 Re 1.79
11 N 0.8476 0.9926 0.3752  1 Re 1.79
12 N 0.4056 0.2641 0.6376  1 Re 1.80
13 N 0.2641 0.4056 0.1376  1 Re 1.80
14 N 0.1524 0.0074 0.6248  1 Re 1.79
15 N 0.3572 0.1765 0.4488  2 Re 1.97
16 N 0.7359 0.5944 0.8624  1 Re 1.80
17 Rb 0.4043 0.5957 0.7500  4 N 3.04-3.14
18 Rb 0.7959 0.9007 0.7113  5 N 2.90-3.01
19 Rb 0.5957 0.4043 0.2500  4 N 3.04-3.14
20 Rb 0.7999 0.3251 0.5055  5 N 3.10-3.25
21 Rb 0.9007 0.7959 0.2113  5 N 2.90-3.01
22 Rb 0.6749 0.2001 0.9945  5 N 3.10-3.25
23 Rb 0.3251 0.7999 0.0055  5 N 3.10-3.25
24 Rb 0.2041 0.0993 0.2887  5 N 2.90-3.01
25 Rb 0.0993 0.2041 0.7887  5 N 2.90-3.01
26 Rb 0.2001 0.6749 0.4945  5 N 3.10-3.25

Summary:
As for the calculated total energy: -6.393 eV per atom. The value obtained for the formation energy (no corrections) is -0.263 eV per atom. The calculated volume is 637 Å³/cell.

Question: Which value of calculated total energy does entry 4 give?
Answer: -3.425 eV per atom

Question: Look up the calculated total energy of the sixth one.
Answer: -4.650 eV per atom

Question: Among the records above, which one has the lowest calculated volume?
Answer: RbReN3

Question: What is the formula in the twelfth record?
Answer: Rb5Re2N6